CrAsRu2: optimized geometry, PBE-GGA.

The structure in POSCAR format:
```
CrAsRu2
1.0
4.265 0.000 0.000
2.132 3.693 0.000
2.132 1.231 3.482
Ru As Cr
2 1 1
Direct
0.000 0.000 0.000 Ru
0.750 0.750 0.750 Ru
0.500 0.500 0.500 As
0.250 0.250 0.250 Cr
```

Results
VASP energy = -7.955 eV/atom
Fermi-level density of states = 3.97 states/eV per cell
Magnetic moment = 0.000 μB per atom



CaCd4Hg4: optimized geometry, PBE-GGA.

The structure in POSCAR format:
```
CaCd4Hg4
1.0
1.218 -4.069 0.856
2.497 -2.900 -6.373
7.167 0.250 1.958
Ca Hg Cd
1 4 4
Direct
0.000 0.000 0.000 Ca
0.331 0.000 0.338 Hg
0.669 0.000 0.662 Hg
0.331 0.338 0.000 Hg
0.669 0.662 0.000 Hg
0.339 0.661 0.661 Cd
0.000 0.339 0.661 Cd
0.661 0.339 0.339 Cd
0.000 0.661 0.339 Cd
```

Results
VASP energy = -0.915 eV/atom
Fermi-level density of states = 3.20 states/eV per cell
Magnetic moment = 0.000 μB per atom



TbNdPt3: optimized geometry, PBE-GGA.

The structure in POSCAR format:
```
TbNdPt3
1.0
-1.083 -0.253 -4.131
3.452 -1.614 -0.806
-6.977 -11.486 2.532
Pt Tb Nd
6 2 2
Direct
0.250 0.472 0.944 Pt
0.750 0.314 0.627 Pt
0.250 0.376 0.752 Pt
0.750 0.528 0.056 Pt
0.250 0.686 0.373 Pt
0.750 0.624 0.248 Pt
0.250 0.793 0.587 Tb
0.750 0.207 0.413 Tb
0.750 0.926 0.852 Nd
0.250 0.074 0.148 Nd
```

Results
VASP energy = -6.599 eV/atom
Fermi-level density of states = 6.89 states/eV per cell
Magnetic moment = 0.000 μB per atom



Cu2Ni5Ru: optimized geometry, PBE-GGA.

The structure in POSCAR format:
```
Cu2Ni5Ru
1.0
-2.359 3.917 2.172
-1.987 -4.644 0.327
4.356 -1.690 1.948
Cu Ni Ru
2 5 1
Direct
0.278 0.778 0.500 Cu
0.778 0.278 0.500 Cu
0.278 0.778 0.000 Ni
0.278 0.278 0.500 Ni
0.778 0.778 0.500 Ni
0.778 0.278 0.000 Ni
0.278 0.278 0.000 Ni
0.778 0.778 0.000 Ru
```

Results
VASP energy = -5.711 eV/atom
Fermi-level density of states = 12.07 states/eV per cell
Magnetic moment = 0.069 μB per atom